Entry w
5
Lattice="-1.174 -4.752 0.045 3.672 -0.878 3.115 -3.016 0.781 3.775" Properties=species:S:1:pos:R:3 comment="Zn3GaHg, optimized geometry, DFT GGA-PBE" sg="Pm-3m, No. 221" total_magnetization_mub_per_fu=0.00 crystal_system=cubic pbc="T T T"
Zn 1.836 -0.439 1.558
Zn -1.508 0.391 1.888
Zn -0.587 -2.376 0.023
Hg -0.259 -2.424 3.468
Ga 0.000 0.000 0.000



Entry x
5
Lattice="5.021 0.000 0.000 0.000 5.021 0.000 0.000 0.000 5.021" Properties=species:S:1:pos:R:3 comment="Zn3GaHg, optimized geometry, DFT GGA-PBE" sg="Pm-3m, No. 221" total_magnetization_mub_per_fu=0.00 crystal_system=cubic pbc="T T T"
Zn 0.000 2.511 0.000
Zn 0.000 0.000 2.511
Zn 2.511 0.000 0.000
Hg 0.000 0.000 0.000
Ga 2.511 2.511 2.511



The least stable of them is entry x.



Entry w
5
Lattice="5.248 0.000 0.000 0.000 5.248 0.000 0.000 0.000 5.248" Properties=species:S:1:pos:R:3 comment="ZnGa3Hg, optimized geometry, DFT GGA-PBE" sg="Pm-3m, No. 221" total_magnetization_mub_per_fu=0.00 crystal_system=cubic pbc="T T T"
Zn 2.624 2.624 2.624
Hg 0.000 0.000 0.000
Ga 0.000 2.624 0.000
Ga 0.000 0.000 2.624
Ga 2.624 0.000 0.000



Entry x
10
Lattice="-3.209 3.443 -2.724 -3.964 -3.578 -1.078 -6.417 0.840 4.183" Properties=species:S:1:pos:R:3 comment="ZnGa3Hg, optimized geometry, DFT GGA-PBE" sg="P1, No. 1" total_magnetization_mub_per_fu=0.00 crystal_system=triclinic pbc="T T T"
Zn -8.182 0.197 2.837
Zn -9.253 2.374 1.581
Ga -4.028 0.563 -0.107
Ga -5.433 0.916 2.391
Ga -5.772 0.557 -2.806
Ga -4.562 3.180 -1.177
Ga -9.774 0.014 0.273
Ga -4.856 -1.742 -1.507
Hg -7.140 1.710 -0.464
Hg -6.815 -1.169 0.740



The least stable of them is entry w.



Entry w
3
Lattice="-2.682 -2.008 0.413 2.014 -0.403 -2.679 3.442 -3.944 3.180" Properties=species:S:1:pos:R:3 comment="ZnGaHg, optimized geometry, DFT GGA-PBE" sg="P3m1, No. 156" total_magnetization_mub_per_fu=0.00 crystal_system=trigonal pbc="T T T"
Zn 0.068 -2.830 0.477
Hg 0.024 -0.028 0.022
Ga 2.682 -3.497 0.415



Entry x
6
Lattice="-3.561 -1.359 -1.643 0.981 -2.901 0.272 -4.586 1.338 8.835" Properties=species:S:1:pos:R:3 comment="ZnGaHg, optimized geometry, DFT GGA-PBE" sg="Pm, No. 6" total_magnetization_mub_per_fu=0.00 crystal_system=monoclinic pbc="T T T"
Zn -4.920 0.734 8.629
Zn -6.029 0.133 6.290
Ga -2.015 -2.770 -0.011
Ga -3.326 -0.621 6.296
Hg -4.671 -0.167 3.593
Hg -1.071 -2.177 2.692



Entry y
3
Lattice="3.389 0.000 0.000 0.000 3.389 0.000 -1.694 -1.694 5.299" Properties=species:S:1:pos:R:3 comment="ZnGaHg, optimized geometry, DFT GGA-PBE" sg="I4mm, No. 107" total_magnetization_mub_per_fu=0.00 crystal_system=tetragonal pbc="T T T"
Zn 1.694 1.694 1.890
Hg 0.000 0.000 0.064
Ga 0.000 0.000 3.345



The least stable of them is entry y.



Entry w
10
Lattice="-6.108 0.652 -3.394 2.813 -3.067 -5.651 -1.132 -3.540 1.358" Properties=species:S:1:pos:R:3 comment="Zr2Ga2Hg, optimized geometry, DFT GGA-PBE" sg="P4/mbm, No. 127" total_magnetization_mub_per_fu=0.00 crystal_system=tetragonal pbc="T T T"
Ga 0.169 -2.440 -6.222
Ga -3.591 -1.345 -6.501
Ga -3.464 0.025 -2.823
Ga 0.296 -1.071 -2.545
Hg 0.000 0.000 0.000
Hg -1.648 -1.208 -4.523
Zr 0.262 -3.727 -3.733
Zr -2.372 -3.859 -6.273
Zr -4.690 -2.228 -3.954
Zr -2.056 -2.097 -1.414



Entry x
10
Lattice="-1.429 -5.704 -5.552 3.330 -5.552 4.847 -2.897 -0.573 1.334" Properties=species:S:1:pos:R:3 comment="Zr2Ga2Hg, optimized geometry, DFT GGA-PBE" sg="P4/mbm, No. 127" total_magnetization_mub_per_fu=0.00 crystal_system=tetragonal pbc="T T T"
Ga 0.540 -4.979 2.971
Ga 0.357 -8.717 0.968
Ga -1.536 -6.851 -2.342
Ga -1.353 -3.113 -0.339
Hg 0.000 0.000 0.000
Hg 0.950 -5.628 -0.353
Zr 2.364 -6.916 2.164
Zr 0.865 -8.461 -1.754
Zr -0.463 -4.340 -2.869
Zr 1.036 -2.796 1.049



The least stable of them is entry x.



Entry w
5
Lattice="-4.317 1.789 2.861 -3.215 -3.592 -2.605 1.024 -3.731 3.880" Properties=species:S:1:pos:R:3 comment="Ho4Ga, optimized geometry, DFT GGA-PBE" sg="Pm-3m, No. 221" total_magnetization_mub_per_fu=0.00 crystal_system=cubic pbc="T T T"
Ho 0.000 0.000 0.000
Ho -1.646 -0.971 3.370
Ho -1.095 -3.661 0.637
Ho -3.766 -0.901 0.128
Ga -3.254 -2.767 2.068



Entry x
10
Lattice="7.227 -0.369 0.000 -3.126 6.527 0.000 -2.051 -3.079 6.495" Properties=species:S:1:pos:R:3 comment="Ho4Ga, optimized geometry, DFT GGA-PBE" sg="Fdd2, No. 43" total_magnetization_mub_per_fu=0.00 crystal_system=orthorhombic pbc="T T T"
Ho 1.506 0.563 4.964
Ho 1.990 4.685 1.532
Ho 3.821 -2.680 5.549
Ho -1.895 5.572 0.947
Ho -0.332 2.309 2.301
Ho -2.918 4.032 4.194
Ho -2.108 0.748 4.779
Ho 3.553 1.422 1.716
Ga 1.353 2.031 0.000
Ga 2.916 -1.233 3.248



The least stable of them is entry w.



Entry w
32
Lattice="7.579 0.000 0.000 0.000 7.579 0.000 0.000 0.000 14.130" Properties=species:S:1:pos:R:3 comment="Ho5Ga3, optimized geometry, DFT GGA-PBE" sg="P4/ncc, No. 130" total_magnetization_mub_per_fu=0.00 crystal_system=tetragonal pbc="T T T"
Ho 0.000 3.789 10.880
Ho 0.000 3.789 3.815
Ho 3.789 0.000 3.250
Ho 3.789 0.000 10.315
Ho 5.164 4.974 8.518
Ho 5.164 2.605 1.453
Ho 6.205 6.395 5.612
Ho 1.374 6.395 12.677
Ho 2.415 2.605 8.518
Ho 2.415 4.974 1.453
Ho 1.374 1.184 5.612
Ho 6.205 1.184 12.677
Ho 4.974 2.415 5.612
Ho 2.605 2.415 12.677
Ho 1.184 6.205 8.518
Ho 6.395 6.205 1.453
Ho 2.605 5.164 5.612
Ho 4.974 5.164 12.677
Ho 6.395 1.374 8.518
Ho 1.184 1.374 1.453
Ga 0.000 3.789 6.969
Ga 0.000 3.789 14.034
Ga 3.789 0.000 7.161
Ga 3.789 0.000 0.096
Ga 6.646 6.646 10.598
Ga 6.646 0.933 3.533
Ga 4.722 4.722 3.533
Ga 2.857 4.722 10.598
Ga 0.933 0.933 10.598
Ga 0.933 6.646 3.533
Ga 2.857 2.857 3.533
Ga 4.722 2.857 10.598



Entry x
16
Lattice="-5.302 -1.453 -2.142 0.560 -1.332 -8.610 -1.014 -8.667 0.264" Properties=species:S:1:pos:R:3 comment="Ho5Ga3, optimized geometry, DFT GGA-PBE" sg="I4/mcm, No. 140" total_magnetization_mub_per_fu=0.00 crystal_system=tetragonal pbc="T T T"
Ho -1.552 -5.363 -4.709
Ho -4.203 -6.089 -5.780
Ho -4.668 -5.074 -9.380
Ho -1.087 -6.378 -1.108
Ho -2.919 -8.548 -3.227
Ho -2.837 -2.903 -7.261
Ho -4.007 -8.280 -8.842
Ho -1.748 -3.172 -1.647
Ho -4.133 -2.659 -4.217
Ho -1.622 -8.793 -6.271
Ga -1.326 -0.363 -0.536
Ga -3.977 -1.090 -1.607
Ga -5.007 -8.985 -5.890
Ga -0.749 -2.467 -4.599
Ga -1.854 -5.919 -7.649
Ga -3.902 -5.533 -2.840



The least stable of them is entry x.